## CdTcHgO4 (GGA-PBE)

Data for CdTcHgO4 after structural relaxation.

a b c (Å): 6.5763 6.5763 6.9419
angles (deg): 104.37 104.37 64.92
Sites, in units of the cell vectors:
Cd1 0.2439 0.2439 0.3811
Cd2 0.7561 0.7561 0.6189
Tc1 0.1366 0.1366 0.7888
Tc2 0.8634 0.8634 0.2112
Hg1 0.4671 0.4671 0.7615
Hg2 0.5329 0.5329 0.2385
O1 0.0134 0.6364 0.3578
O2 0.0243 0.0243 0.2274
O3 0.2412 0.2412 0.0338
O4 0.3636 0.9866 0.6422
O5 0.6364 0.0134 0.3578
O6 0.7588 0.7588 0.9662
O7 0.9757 0.9757 0.7726
O8 0.9866 0.3636 0.6422

The calculation puts the total energy at -5.487 eV/atom. The crystal system is monoclinic. The uncorrected formation energy comes out at -7.00 eV/f.u. For the size of the total moment, the calculation gives 0.0 μB per formula unit.


## Pa2CCl2 (GGA-PBE)

Data for Pa2CCl2 after structural relaxation.

a b c (Å): 3.6221 3.6221 31.2359
angles (deg): 90.00 90.00 120.00
Sites, in units of the cell vectors:
Pa1 0.0000 0.0000 0.1230
Pa2 0.0000 0.0000 0.8770
Pa3 0.3333 0.6667 0.5437
Pa4 0.3333 0.6667 0.7896
Pa5 0.6667 0.3333 0.2104
Pa6 0.6667 0.3333 0.4563
C1 0.0000 0.0000 0.5000
C2 0.3333 0.6667 0.1667
C3 0.6667 0.3333 0.8333
Cl1 0.0000 0.0000 0.2720
Cl2 0.0000 0.0000 0.7280
Cl3 0.3333 0.6667 0.3946
Cl4 0.3333 0.6667 0.9387
Cl5 0.6667 0.3333 0.0613
Cl6 0.6667 0.3333 0.6054

The calculation puts the total energy at -7.608 eV/atom. The crystal system is trigonal. The uncorrected formation energy comes out at -6.13 eV/f.u. For the size of the total moment, the calculation gives 0.0 μB per formula unit.


## TbCe2ZrN5 (GGA-PBE)

Data for TbCe2ZrN5 after structural relaxation.

a b c (Å): 7.1332 7.1332 11.4214
angles (deg): 90.00 90.00 150.78
Sites, in units of the cell vectors:
Tb1 0.2415 0.7585 0.5000
Tb2 0.7585 0.2415 0.0000
Ce1 0.1318 0.8682 0.2276
Ce2 0.1368 0.8632 0.7523
Ce3 0.8632 0.1368 0.2523
Ce4 0.8682 0.1318 0.7276
Zr1 0.4906 0.5094 0.9981
Zr2 0.5094 0.4906 0.4981
N1 0.0728 0.9272 0.5515
N2 0.2754 0.7246 0.1540
N3 0.2860 0.7140 0.8573
N4 0.3873 0.6127 0.6029
N5 0.4484 0.5516 0.3301
N6 0.5516 0.4484 0.8301
N7 0.6127 0.3873 0.1029
N8 0.7140 0.2860 0.3573
N9 0.7246 0.2754 0.6540
N10 0.9272 0.0728 0.0515

The calculation puts the total energy at -8.823 eV/atom. The crystal system is orthorhombic. The uncorrected formation energy comes out at -12.73 eV/f.u. For the size of the total moment, the calculation gives 0.0 μB per formula unit.


## EuTmLuTh (GGA-PBE)

Data for EuTmLuTh after structural relaxation.

a b c (Å): 8.0489 8.0489 8.0489
angles (deg): 90.00 90.00 90.00
Sites, in units of the cell vectors:
Eu1 0.0000 0.0000 0.0000
Eu2 0.0000 0.5000 0.5000
Eu3 0.5000 0.0000 0.5000
Eu4 0.5000 0.5000 0.0000
Tm1 0.2500 0.2500 0.2500
Tm2 0.2500 0.7500 0.7500
Tm3 0.7500 0.2500 0.7500
Tm4 0.7500 0.7500 0.2500
Lu1 0.2500 0.2500 0.7500
Lu2 0.2500 0.7500 0.2500
Lu3 0.7500 0.2500 0.2500
Lu4 0.7500 0.7500 0.7500
Th1 0.0000 0.0000 0.5000
Th2 0.0000 0.5000 0.0000
Th3 0.5000 0.0000 0.0000
Th4 0.5000 0.5000 0.5000

The calculation puts the total energy at -6.495 eV/atom. The crystal system is cubic. The calculation puts the formation energy at 0.176 eV per atom. For the size of the total moment, the calculation gives 7.0 μB per formula unit.